No. 1
Compound: RbFe3
Source: OQMD
Functional: PBE
Structure: relaxed

a b c (Å): 4.574 4.574 4.574
angles (deg): 60.00 60.00 60.00
Element x y z (fractional)
Fe 0.000 0.000 0.000
Fe 0.500 0.500 0.500
Rb 0.750 0.750 0.750
Fe 0.250 0.250 0.250

Values from the calculation:
Uncorrected energy, Ha/atom: -0.1804


No. 2
Compound: Sc4Nb2Pb3N3
Source: OQMD
Functional: PBE
Structure: relaxed

a b c (Å): 5.751 5.751 14.650
angles (deg): 101.12 101.12 60.30
Element x y z (fractional)
N 0.000 0.500 0.500
Nb 0.524 0.363 0.074
Nb 0.363 0.524 0.574
Sc 0.141 0.307 0.919
Nb 0.637 0.476 0.426
N 0.156 0.672 0.000
Sc 0.805 0.974 0.919
Sc 0.859 0.693 0.081
Sc 0.974 0.805 0.419
Sc 0.307 0.141 0.419
N 0.844 0.328 0.000
Pb 0.092 0.908 0.750
Pb 0.908 0.092 0.250
Sc 0.195 0.026 0.081
Pb 0.585 0.740 0.250
Sc 0.693 0.859 0.581
Pb 0.415 0.260 0.750
Pb 0.260 0.415 0.250
Nb 0.476 0.637 0.926
N 0.500 0.000 0.000
Pb 0.740 0.585 0.750
N 0.672 0.156 0.500
Sc 0.026 0.195 0.581
N 0.328 0.844 0.500

Values from the calculation:
Uncorrected energy, Ha/atom: -0.2846


No. 3
Compound: YInCu2
Source: OQMD
Functional: PBE
Structure: relaxed

a b c (Å): 6.512 4.634 9.263
angles (deg): 90.00 90.00 90.00
Element x y z (fractional)
Cu 0.500 0.250 0.372
Cu 0.500 0.750 0.628
Cu 0.000 0.750 0.128
Y 0.750 0.250 0.123
In 0.250 0.250 0.624
In 0.250 0.250 0.124
Cu 0.500 0.250 0.872
In 0.750 0.750 0.376
Y 0.750 0.250 0.623
In 0.750 0.750 0.876
Y 0.250 0.750 0.377
Cu 0.000 0.250 0.372
Cu 0.500 0.750 0.128
Cu 0.000 0.750 0.628
Cu 0.000 0.250 0.872
Y 0.250 0.750 0.877

Values from the calculation:
Uncorrected energy, Ha/atom: -0.1644